[1]
! Ca3Al3Pt2, relaxed, DFT PBE; values from VASP
&SYSTEM
  ibrav = 0, nat = 32, ntyp = 3
/
ATOMIC_SPECIES
Ca 40.08 Ca.upf
Al 26.98 Al.upf
Pt 195.08 Pt.upf
CELL_PARAMETERS angstrom
8.012 0.000 0.000
0.000 15.234 0.000
0.000 0.000 5.920
ATOMIC_POSITIONS crystal
Ca 0.035 0.110 0.110
Ca 0.035 0.390 0.110
Ca 0.185 0.250 0.619
Ca 0.315 0.750 0.119
Ca 0.465 0.610 0.610
Ca 0.465 0.890 0.610
Ca 0.535 0.110 0.390
Ca 0.535 0.390 0.390
Ca 0.685 0.250 0.881
Ca 0.815 0.750 0.381
Ca 0.965 0.610 0.890
Ca 0.965 0.890 0.890
Al 0.160 0.750 0.594
Al 0.168 0.037 0.609
Al 0.168 0.463 0.609
Al 0.332 0.537 0.109
Al 0.332 0.963 0.109
Al 0.340 0.250 0.094
Al 0.660 0.750 0.906
Al 0.668 0.037 0.891
Al 0.668 0.463 0.891
Al 0.832 0.537 0.391
Al 0.832 0.963 0.391
Al 0.840 0.250 0.406
Pt 0.124 0.602 0.382
Pt 0.124 0.898 0.382
Pt 0.376 0.102 0.882
Pt 0.376 0.398 0.882
Pt 0.624 0.602 0.118
Pt 0.624 0.898 0.118
Pt 0.876 0.102 0.618
Pt 0.876 0.398 0.618
! Volume (Å³/atom): 22.580
! Calculated total energy (eV/cell): -142.44
! Theoretical density (g/cm3): 5.44
! ΔE_f (eV per atom): -0.79

---

[2]
! Hf2MoS, relaxed, DFT PBE; values from VASP
&SYSTEM
  ibrav = 0, nat = 12, ntyp = 3
/
ATOMIC_SPECIES
Hf 178.49 Hf.upf
Mo 95.94 Mo.upf
S 32.06 S.upf
CELL_PARAMETERS angstrom
3.103 0.000 0.000
-1.552 2.688 0.000
0.000 0.000 27.406
ATOMIC_POSITIONS crystal
Hf 0.000 0.000 0.098
Hf 0.000 0.000 0.902
Hf 0.333 0.667 0.569
Hf 0.333 0.667 0.765
Hf 0.667 0.333 0.235
Hf 0.667 0.333 0.431
Mo 0.000 0.000 0.000
Mo 0.333 0.667 0.667
Mo 0.667 0.333 0.333
S 0.000 0.000 0.500
S 0.333 0.667 0.167
S 0.667 0.333 0.833
! Volume (Å³/atom): 19.049
! Calculated total energy (eV/cell): -104.96
! Theoretical density (g/cm3): 10.57
! Formation energy from raw total energies (eV per formula unit): -0.12

---

[3]
! Pm2Nd2Y4Tm, relaxed, DFT PBE; values from VASP
&SYSTEM
  ibrav = 0, nat = 9, ntyp = 4
/
ATOMIC_SPECIES
Pm 145.00 Pm.upf
Nd 144.24 Nd.upf
Y 88.91 Y.upf
Tm 168.93 Tm.upf
CELL_PARAMETERS angstrom
9.437 -1.818 0.000
9.437 1.818 0.000
-4.198 0.000 8.717
ATOMIC_POSITIONS crystal
Pm 0.148 0.148 0.164
Pm 0.852 0.852 0.836
Nd 0.335 0.335 0.500
Nd 0.665 0.665 0.500
Y 0.185 0.185 0.834
Y 0.481 0.481 0.168
Y 0.519 0.519 0.832
Y 0.815 0.815 0.166
Tm 0.000 0.000 0.500
! Volume (Å³/atom): 33.228
! Calculated total energy (eV/cell): -49.34
! Theoretical density (g/cm3): 6.12
! ΔE_f (eV per atom): 0.00

---

[4]
! Li7Cu, relaxed, DFT PBE; values from VASP
&SYSTEM
  ibrav = 0, nat = 8, ntyp = 2
/
ATOMIC_SPECIES
Li 6.94 Li.upf
Cu 63.55 Cu.upf
CELL_PARAMETERS angstrom
0.000 4.096 4.096
4.096 0.000 4.096
4.096 4.096 0.000
ATOMIC_POSITIONS crystal
Li 0.000 0.000 0.000
Li 0.000 0.000 0.500
Li 0.000 0.500 0.000
Li 0.000 0.500 0.500
Li 0.500 0.000 0.000
Li 0.500 0.000 0.500
Li 0.500 0.500 0.000
Cu 0.500 0.500 0.500
! Volume (Å³/atom): 17.180
! Calculated total energy (eV/cell): -17.18
! Theoretical density (g/cm3): 1.35
! ΔE_f (eV per atom): 0.04
! E above lowest polymorph (meV per atom): 22

---

[5]
! Li4SbMo, relaxed, DFT PBE; values from VASP
&SYSTEM
  ibrav = 0, nat = 6, ntyp = 3
/
ATOMIC_SPECIES
Li 6.94 Li.upf
Sb 121.76 Sb.upf
Mo 95.94 Mo.upf
CELL_PARAMETERS angstrom
0.000 3.610 3.610
3.610 0.000 3.610
3.610 3.610 0.000
ATOMIC_POSITIONS crystal
Li 0.123 0.123 0.123
Li 0.123 0.123 0.630
Li 0.123 0.630 0.123
Li 0.630 0.123 0.123
Sb 0.500 0.500 0.500
Mo 0.750 0.750 0.750
! Volume (Å³/atom): 15.683
! Calculated total energy (eV/cell): -21.14
! Theoretical density (g/cm3): 4.33
! Formation energy from raw total energies (eV per formula unit): 1.47

---

[6]
! CaThCdIr, relaxed, DFT PBE; values from VASP
&SYSTEM
  ibrav = 0, nat = 16, ntyp = 4
/
ATOMIC_SPECIES
Ca 40.08 Ca.upf
Th 232.04 Th.upf
Cd 112.41 Cd.upf
Ir 192.22 Ir.upf
CELL_PARAMETERS angstrom
7.284 0.000 0.000
0.000 7.284 0.000
0.000 0.000 7.284
ATOMIC_POSITIONS crystal
Ca 0.000 0.000 0.000
Ca 0.000 0.500 0.500
Ca 0.500 0.000 0.500
Ca 0.500 0.500 0.000
Th 0.000 0.000 0.500
Th 0.000 0.500 0.000
Th 0.500 0.000 0.000
Th 0.500 0.500 0.500
Cd 0.250 0.250 0.250
Cd 0.250 0.750 0.750
Cd 0.750 0.250 0.750
Cd 0.750 0.750 0.250
Ir 0.250 0.250 0.750
Ir 0.250 0.750 0.250
Ir 0.750 0.250 0.250
Ir 0.750 0.750 0.750
! Volume (Å³/atom): 24.152
! Calculated total energy (eV/cell): -82.25
! Theoretical density (g/cm3): 9.91
! ΔE_f (eV per atom): -0.34

---

[7]
! Mg2CuPd3, relaxed, DFT PBE; values from VASP
&SYSTEM
  ibrav = 0, nat = 6, ntyp = 3
/
ATOMIC_SPECIES
Mg 24.30 Mg.upf
Cu 63.55 Cu.upf
Pd 106.42 Pd.upf
CELL_PARAMETERS angstrom
3.039 0.000 0.000
0.000 3.039 0.000
0.000 0.000 9.931
ATOMIC_POSITIONS crystal
Mg 0.000 0.000 0.176
Mg 0.000 0.000 0.824
Cu 0.000 0.000 0.500
Pd 0.500 0.500 0.000
Pd 0.500 0.500 0.346
Pd 0.500 0.500 0.654
! Volume (Å³/atom): 15.285
! Calculated total energy (eV/cell): -26.15
! Theoretical density (g/cm3): 7.81
! ΔE_f (eV per atom): -0.55
! E above lowest polymorph (meV per atom): 23

---

[8]
! BaAg2W, relaxed, DFT PBE; values from VASP
&SYSTEM
  ibrav = 0, nat = 16, ntyp = 3
/
ATOMIC_SPECIES
Ba 137.33 Ba.upf
Ag 107.87 Ag.upf
W 183.84 W.upf
CELL_PARAMETERS angstrom
7.317 0.000 0.000
0.000 7.317 0.000
0.000 0.000 7.317
ATOMIC_POSITIONS crystal
Ba 0.000 0.000 0.000
Ba 0.000 0.500 0.500
Ba 0.500 0.000 0.500
Ba 0.500 0.500 0.000
Ag 0.000 0.000 0.500
Ag 0.000 0.500 0.000
Ag 0.250 0.250 0.750
Ag 0.250 0.750 0.250
Ag 0.500 0.000 0.000
Ag 0.500 0.500 0.500
Ag 0.750 0.250 0.250
Ag 0.750 0.750 0.750
W 0.250 0.250 0.250
W 0.250 0.750 0.750
W 0.750 0.250 0.750
W 0.750 0.750 0.250
! Volume (Å³/atom): 24.484
! Calculated total energy (eV/cell): -63.68
! Theoretical density (g/cm3): 9.10
! ΔE_f (eV per atom): 1.16
! E above lowest polymorph (meV per atom): 424

---

[9]
! Sr3La3TmSe8, relaxed, DFT PBE; values from VASP
&SYSTEM
  ibrav = 0, nat = 15, ntyp = 4
/
ATOMIC_SPECIES
Sr 87.62 Sr.upf
La 138.91 La.upf
Tm 168.93 Tm.upf
Se 78.96 Se.upf
CELL_PARAMETERS angstrom
4.311 2.489 7.207
-4.311 2.489 7.207
0.000 -4.977 7.207
ATOMIC_POSITIONS crystal
Sr 0.000 0.500 0.500
Sr 0.500 0.000 0.500
Sr 0.500 0.500 0.000
La 0.000 0.000 0.500
La 0.000 0.500 0.000
La 0.500 0.000 0.000
Tm 0.500 0.500 0.500
Se 0.249 0.249 0.249
Se 0.259 0.735 0.735
Se 0.265 0.265 0.741
Se 0.265 0.741 0.265
Se 0.735 0.259 0.735
Se 0.735 0.735 0.259
Se 0.741 0.265 0.265
Se 0.751 0.751 0.751
! Volume (Å³/atom): 30.927
! Calculated total energy (eV/cell): -82.04
! Theoretical density (g/cm3): 5.30
! Formation energy from raw total energies (eV per formula unit): -29.86

---

[10]
! Ce2AlZn4Au3, relaxed, DFT PBE; values from VASP
&SYSTEM
  ibrav = 0, nat = 10, ntyp = 4
/
ATOMIC_SPECIES
Ce 140.12 Ce.upf
Al 26.98 Al.upf
Zn 65.41 Zn.upf
Au 196.97 Au.upf
CELL_PARAMETERS angstrom
4.167 0.000 0.000
0.000 4.167 0.000
0.000 0.000 11.632
ATOMIC_POSITIONS crystal
Ce 0.000 0.500 0.247
Ce 0.500 0.000 0.753
Al 0.500 0.500 0.000
Zn 0.000 0.000 0.500
Zn 0.000 0.500 0.864
Zn 0.500 0.000 0.136
Zn 0.500 0.500 0.500
Au 0.000 0.000 0.000
Au 0.000 0.500 0.644
Au 0.500 0.000 0.356
! Volume (Å³/atom): 20.202
! Calculated total energy (eV/cell): -35.05
! Theoretical density (g/cm3): 9.53
! ΔE_f (eV per atom): -0.45

---

One value per record, in order, for total moment: 0.00; 0.00; 0.00; 0.01; 2.82; 0.00; 0.00; 3.20; 0.00; 1.82 μB/f.u..